# 1
Entry from the Alexandria database: a relaxed SiRu4Cl crystal (PBE-GGA).

**DFT total energy**: -6.34 eV per atom
**SG**: F-43m
**M_tot**: 0.79 μB per atom
**Density**: 7888 kg/m3

abc: 5.183 5.183 5.183
angles: 60.00 60.00 60.00
Each line ends with the local moment (μB).
Fractional positions:
Ru 0.875 0.375 0.375  1.09
Ru 0.375 0.875 0.375  1.09
Ru 0.375 0.375 0.875  1.09
Si 0.750 0.750 0.750  0.00
Cl 0.000 0.000 0.000  0.19
Ru 0.375 0.375 0.375  1.09

# 2
Entry from the Alexandria database: a relaxed LaAl2Os crystal (PBE-GGA).

**DFT total energy**: -6.30 eV per atom
**SG**: C2/m
**M_tot**: 0.00 μB per atom
**Calculated formation energy**: -0.386 eV/atom
**Density**: 7362 kg/m3

abc: 4.295 4.295 5.952
angles: 68.79 68.79 60.02
Fractional positions:
Al 0.047 0.047 0.859
Al 0.453 0.453 0.641
La 0.250 0.250 0.250
Os 0.750 0.750 0.750

# 3
Entry from the Alexandria database: a relaxed VSi3H crystal (PBE-GGA).

**DFT total energy**: -4.91 eV per atom
**ΔE to the lowest computed polymorph**: 0.4515 eV per atom
**SG**: Pm-3m
**M_tot**: 0.23 μB per atom
**Density**: 2357 kg/m3

abc: 4.578 4.578 4.578
angles: 90.00 90.00 90.00
Each line ends with the local moment (μB).
Fractional positions:
Si 0.000 0.000 0.500  0.01
V 0.000 0.000 0.000  0.26
H 0.500 0.500 0.500  0.34
Si 0.500 0.000 0.000  0.01
Si 0.000 0.500 0.000  0.01

# 4
Entry from the Alexandria database: a relaxed PrSm2Rh crystal (PBE-GGA).

**DFT total energy**: -5.80 eV per atom
**ΔE to the lowest computed polymorph**: 0.0294 eV per atom
**SG**: P2_1/m
**M_tot**: 0.00 μB per atom
**Calculated formation energy**: -0.412 eV/atom
**Density**: 7767 kg/m3

abc: 3.887 6.413 9.802
angles: 90.00 90.00 107.66
Fractional positions:
Sm 0.860 0.720 0.932
Rh 0.736 0.472 0.250
Sm 0.140 0.280 0.432
Sm 0.860 0.720 0.568
Rh 0.264 0.528 0.750
Sm 0.140 0.280 0.068
Pr 0.579 0.157 0.750
Pr 0.421 0.843 0.250

# 5
Entry from the Alexandria database: a relaxed NaLi2RhF6 crystal (PBE-GGA).

**DFT total energy**: -4.74 eV per atom
**ΔE to the lowest computed polymorph**: 0.0000 eV per atom
**SG**: R3
**M_tot**: 0.02 μB per atom
**Density**: 3557 kg/m3

abc: 5.292 5.292 5.762
angles: 62.65 62.66 59.99
Each line ends with the local moment (μB).
Fractional positions:
F 0.927 0.580 0.246  0.01
F 0.247 0.927 0.246  0.01
Na 0.812 0.812 0.565  0.00
Li 0.533 0.533 0.400  0.00
Rh 0.325 0.325 0.026  0.14
F 0.580 0.247 0.246  0.01
F 0.721 0.123 0.777  0.01
Li 0.015 0.015 0.956  0.00
F 0.379 0.721 0.777  0.01
F 0.123 0.379 0.777  0.01

# 6
Entry from the Alexandria database: a relaxed Nd2CdPb3 crystal (PBE-GGA).

**DFT total energy**: -4.06 eV per atom
**ΔE to the lowest computed polymorph**: 0.0000 eV per atom
**SG**: Cmmm
**M_tot**: 0.00 μB per atom
**Calculated formation energy**: -0.460 eV/atom
**Density**: 9762 kg/m3

abc: 4.605 4.813 8.179
angles: 90.00 106.35 90.00
Fractional positions:
Cd 0.000 0.000 0.000
Pb 0.500 0.500 0.000
Nd 0.150 0.500 0.301
Nd 0.850 0.500 0.699
Pb 0.327 0.000 0.654
Pb 0.673 0.000 0.346

# 7
Entry from the Alexandria database: a relaxed BaP2PdI crystal (PBE-GGA).

**DFT total energy**: -3.04 eV per atom
**SG**: P4/mmm
**M_tot**: 0.00 μB per atom
**Density**: 4160 kg/m3

abc: 5.237 6.296 5.237
angles: 90.00 90.00 90.00
Fractional positions:
I 0.000 0.000 0.000
P 0.500 0.000 0.000
Ba 0.000 0.500 0.000
P 0.000 0.000 0.500
Pd 0.500 0.500 0.500

# 8
Entry from the Alexandria database: a relaxed Er3Mg2C crystal (PBE-GGA).

**DFT total energy**: -4.52 eV per atom
**SG**: Cmmm
**M_tot**: 0.00 μB per atom
**Calculated formation energy**: -0.168 eV/atom
**Density**: 6551 kg/m3

abc: 5.059 6.885 8.568
angles: 90.00 72.83 90.00
Fractional positions:
Er 0.896 0.000 0.208
Er 0.500 0.250 0.000
Er 0.896 0.500 0.208
Mg 0.702 0.250 0.597
Er 0.500 0.750 0.000
C 0.000 0.750 0.000
Mg 0.298 0.750 0.403
Mg 0.701 0.750 0.597
Mg 0.299 0.250 0.403
Er 0.104 0.500 0.792
C 0.000 0.250 0.000
Er 0.104 0.000 0.792

Please write out number 8 again, unchanged.
Entry from the Alexandria database: a relaxed Er3Mg2C crystal (PBE-GGA).

**DFT total energy**: -4.52 eV per atom
**SG**: Cmmm
**M_tot**: 0.00 μB per atom
**Calculated formation energy**: -0.168 eV/atom
**Density**: 6551 kg/m3

abc: 5.059 6.885 8.568
angles: 90.00 72.83 90.00
Fractional positions:
Er 0.896 0.000 0.208
Er 0.500 0.250 0.000
Er 0.896 0.500 0.208
Mg 0.702 0.250 0.597
Er 0.500 0.750 0.000
C 0.000 0.750 0.000
Mg 0.298 0.750 0.403
Mg 0.701 0.750 0.597
Mg 0.299 0.250 0.403
Er 0.104 0.500 0.792
C 0.000 0.250 0.000
Er 0.104 0.000 0.792

Q: M_tot of number 7 (BaP2PdI)?
A: 0.00 μB per atom

Copy entry 6 word for word.
Entry from the Alexandria database: a relaxed Nd2CdPb3 crystal (PBE-GGA).

**DFT total energy**: -4.06 eV per atom
**ΔE to the lowest computed polymorph**: 0.0000 eV per atom
**SG**: Cmmm
**M_tot**: 0.00 μB per atom
**Calculated formation energy**: -0.460 eV/atom
**Density**: 9762 kg/m3

abc: 4.605 4.813 8.179
angles: 90.00 106.35 90.00
Fractional positions:
Cd 0.000 0.000 0.000
Pb 0.500 0.500 0.000
Nd 0.150 0.500 0.301
Nd 0.850 0.500 0.699
Pb 0.327 0.000 0.654
Pb 0.673 0.000 0.346